A plane-wave DFT calculation with PBE-GGA was carried out for an optimized crystal structure of Y4NiSnN2.

Cell and atoms, written as POSCAR:
```
Y4NiSnN2
1.0
3.525 0.000 0.000
-1.763 3.053 0.000
0.000 0.000 14.518
N Ni Sn Y
2 1 1 4
Cartesian
0.000 2.035 3.473
0.000 2.035 11.044
0.000 0.000 0.000
1.763 1.018 7.259
1.763 1.018 1.945
0.000 0.000 4.689
0.000 0.000 9.829
1.763 1.018 12.573
```

Total energy = -7.51 eV per atom
Symmetry = P-6m2


A plane-wave DFT calculation with PBE-GGA was carried out for an optimized crystal structure of Zr4NiSnN2.

Cell and atoms, written as POSCAR:
```
Zr4NiSnN2
1.0
3.283 0.000 0.000
-1.642 2.843 0.000
0.000 0.000 13.861
N Ni Sn Zr
2 1 1 4
Cartesian
0.000 0.000 3.709
0.000 0.000 10.152
0.000 1.895 6.930
1.642 0.948 0.000
0.000 1.895 2.410
1.642 0.948 5.006
1.642 0.948 8.854
0.000 1.895 11.451
```

Total energy = -8.55 eV per atom
Symmetry = P-6m2


A plane-wave DFT calculation with PBE-GGA was carried out for an optimized crystal structure of Sr3NiN3.

Cell and atoms, written as POSCAR:
```
Sr3NiN3
1.0
-1.666 5.819 4.439
-4.739 -2.039 -5.452
-2.470 -3.282 3.375
N Ni Sr
6 2 6
Cartesian
-2.761 -1.042 -0.940
-4.876 1.174 -0.334
-5.360 -0.853 -2.660
-3.515 1.351 5.021
-4.000 -0.676 2.696
-6.115 1.540 3.302
-4.332 -0.240 -1.311
-4.543 0.738 3.673
-2.219 3.205 3.586
-2.543 0.723 0.935
-5.162 3.209 1.435
-3.713 -2.711 0.926
-6.332 -0.225 1.426
-6.657 -2.707 -1.224
```

Total energy = -5.50 eV per atom
Symmetry = P6_3/m


> What is the total energy in the second record?

-8.55 eV per atom


> Which of these has the highest total energy?

Sr3NiN3


> What is the total energy in the second record?

-8.55 eV per atom